Arrangement w

Here is a relaxed NaV3Sb crystal from Alexandria via LeMat-Bulk. Energies are from PBE.

Structure (extended XYZ):
```
5
Lattice="4.4733 0.0000 0.0000 0.0000 4.4733 0.0000 0.0000 0.0000 4.4733" Properties=species:S:1:pos:R:3 pbc="T T T"
Na 0.0000 0.0000 0.0000
V 0.0000 0.0000 2.2367
V 0.0000 2.2367 0.0000
V 2.2367 0.0000 0.0000
Sb 2.2367 2.2367 2.2367
```

---

Arrangement x

Here is a relaxed NaV3Sb crystal from Alexandria via LeMat-Bulk. Energies are from PBE.

Structure (extended XYZ):
```
5
Lattice="5.2280 0.0000 0.0000 0.0000 5.2280 0.0000 0.0000 0.0000 5.2280" Properties=species:S:1:pos:R:3 pbc="T T T"
Na 0.0000 0.0000 0.0000
V 0.0000 2.6140 2.6140
V 2.6140 0.0000 2.6140
V 2.6140 2.6140 0.0000
Sb 2.6140 2.6140 2.6140
```

---

In eV/atom, relative to the most stable structure: arrangement w 0.631; arrangement x 0.000.